Record 1
## Zr4Ru (PBE-GGA)

Data for a geometry-optimized Zr4Ru structure.

abc: 3.7058 3.7058 16.5344
angles: 90.00 90.00 90.00
With the nearest neighbours (Å) after each atom.
Space group I4/mmm (No. 139)
Unique sites:
Zr (0.0000, 0.0000, 0.0836) [4 per cell]  1 Zr 2.77, 4 Ru 2.96
Zr (0.0000, 0.5000, 0.2500) [4 per cell]  4 Zr 2.62
Ru (0.0000, 0.0000, 0.5000) [2 per cell]  8 Zr 2.96

Summary:
* E above lowest polymorph: 869 meV/atom
* size of the total moment: 0.000 μB per atom
* calculated total energy: -80.8 eV/cell

=====

Record 2
## Er5InGa2 (PBE-GGA)

Data for a geometry-optimized Er5InGa2 structure.

abc: 7.6875 7.6875 14.1575
angles: 90.00 90.00 90.00
With the nearest neighbours (Å) after each atom.
Space group I4/mcm (No. 140)
Unique sites:
Er (0.0000, 0.0000, 0.0000) [4 per cell]  4 Ga 3.04
Er (0.1662, 0.3338, 0.1439) [16 per cell]  3 Ga 3.04-3.05, 2 In 3.24
In (0.0000, 0.0000, 0.2500) [4 per cell]  10 Er 3.24-3.54
Ga (0.1253, 0.3747, 0.5000) [8 per cell]  1 Ga 2.72, 8 Er 3.04-3.05

Summary:
* size of the total moment: 0.000 μB per atom
* calculated total energy: -141.8 eV/cell